# 1
Density functional theory data (GGA-PBE) for a relaxed structure of Rb4SbH.

Summary:
* calculated density: 2.6 g/cm3
* energy: -2.13 eV per atom

abc: 10.262 14.310 8.881
angles: 90.00 115.37 90.00
Space group C2/c (No. 15)
Inequivalent atoms, fractional coordinates:
Rb  0.097  0.151  0.011 x8
Rb  0.183  0.431  0.501 x8
Sb  0.000  0.361  0.750 x4
H  0.000  0.032  0.250 x4

=====

# 2
Density functional theory data (GGA-PBE) for a relaxed structure of Rb3SbH.

Summary:
* calculated density: 3.4 g/cm3
* polymorph energy (0 for the lowest one): 38 meV per atom

abc: 7.9808 7.9808 20.1113
angles: 90.00 90.00 120.00
Space group R-3m (No. 166, hexagonal axes)
Inequivalent atoms, fractional coordinates:
Rb  0.0193  0.5097  0.4133 x18
Sb  0.0000  0.0000  0.4248 x6
H  0.0000  0.0000  0.1600 x6

=====

# 3
Density functional theory data (GGA-PBE) for a relaxed structure of RbSbH2.

Summary:
* calculated density: 4.6 g/cm3
* polymorph energy (0 for the lowest one): 746 meV per atom

abc: 6.698 6.698 6.698
angles: 90.00 90.00 90.00
Space group Fm-3m (No. 225)
Inequivalent atoms, fractional coordinates:
Rb  0.000  0.000  0.000 x4
Sb  0.000  0.000  0.500 x4
H  0.250  0.250  0.250 x8

=====

# 4
Density functional theory data (GGA-PBE) for a relaxed structure of RbSbHSe2.

Summary:
* calculated density: 4.1 g/cm3
* energy: -3.43 eV per atom

abc: 7.453 4.560 9.309
angles: 90.00 112.16 90.00
Space group P2/c (No. 13)
Inequivalent atoms, fractional coordinates:
Rb  0.000  0.221  0.250 x2
Sb  0.500  0.073  0.750 x2
H  0.500  0.500  0.000 x2
Se  0.309  0.294  0.026 x4

=====

# 5
Density functional theory data (GGA-PBE) for a relaxed structure of Rb2SnSbH.

Summary:
* calculated density: 3.8 g/cm3
* energy: -3.00 eV per atom

abc: 7.229 4.509 11.279
angles: 90.00 102.34 90.00
Space group P2_1/m (No. 11)
Inequivalent atoms, fractional coordinates:
Rb  0.204  0.250  0.410 x2
Rb  0.290  0.750  0.067 x2
Sn  0.329  0.750  0.687 x2
Sb  0.162  0.250  0.795 x2
H  0.431  0.250  0.212 x2

=====

# 6
Density functional theory data (GGA-PBE) for a relaxed structure of RbSb2TeH.

Summary:
* calculated density: 5.8 g/cm3
* polymorph energy (0 for the lowest one): 0 meV per atom

abc: 4.826 4.826 5.588
angles: 90.00 90.00 90.00
Space group P4/mmm (No. 123)
Inequivalent atoms, fractional coordinates:
Rb  0.000  0.000  0.000 x1
Sb  0.000  0.500  0.500 x2
Te  0.500  0.500  0.000 x1
H  0.500  0.500  0.500 x1

=====

# 7
Density functional theory data (GGA-PBE) for a relaxed structure of RbSb2TeH.

Summary:
* calculated density: 1.8 g/cm3
* polymorph energy (0 for the lowest one): 1288 meV per atom

abc: 7.682 7.682 6.964
angles: 90.00 90.00 90.00
Space group P4/mmm (No. 123)
Inequivalent atoms, fractional coordinates:
Rb  0.000  0.000  0.000 x1
Sb  0.000  0.500  0.000 x2
Te  0.000  0.000  0.500 x1
H  0.500  0.500  0.500 x1

=====

# 8
Density functional theory data (GGA-PBE) for a relaxed structure of Rb2TlSbH.

Summary:
* calculated density: 5.3 g/cm3
* polymorph energy (0 for the lowest one): 114 meV per atom

abc: 5.304 5.304 5.595
angles: 90.00 90.00 90.00
Space group P4/mmm (No. 123)
Inequivalent atoms, fractional coordinates:
Rb  0.000  0.500  0.000 x2
Tl  0.000  0.000  0.500 x1
Sb  0.500  0.500  0.500 x1
H  0.000  0.000  0.000 x1

=====

# 9
Density functional theory data (GGA-PBE) for a relaxed structure of Rb2TlSbH.

Summary:
* calculated density: 4.5 g/cm3
* polymorph energy (0 for the lowest one): 0 meV per atom

abc: 7.374 4.837 10.635
angles: 90.00 101.66 90.00
Space group P2_1/m (No. 11)
Inequivalent atoms, fractional coordinates:
Rb  0.179  0.250  0.405 x2
Rb  0.288  0.750  0.074 x2
Tl  0.345  0.750  0.693 x2
Sb  0.170  0.250  0.781 x2
H  0.394  0.250  0.212 x2

=====

# 10
Density functional theory data (GGA-PBE) for a relaxed structure of Rb2Zn2Sb2H.

Summary:
* calculated density: 4.5 g/cm3
* energy: -2.54 eV per atom

abc: 12.671 4.635 8.518
angles: 90.00 125.61 90.00
Space group C2/m (No. 12)
Inequivalent atoms, fractional coordinates:
Rb  0.054  0.000  0.317 x4
Zn  0.166  0.500  0.074 x4
Sb  0.203  0.500  0.780 x4
H  0.000  0.500  0.000 x2

=====

# 11
Density functional theory data (GGA-PBE) for a relaxed structure of Rb2ZnSbH.

Summary:
* calculated density: 3.6 g/cm3
* energy: -2.47 eV per atom

abc: 7.422 4.533 10.506
angles: 90.00 109.91 90.00
Space group P2_1/m (No. 11)
Inequivalent atoms, fractional coordinates:
Rb  0.199  0.250  0.407 x2
Rb  0.220  0.250  0.955 x2
Zn  0.447  0.750  0.236 x2
Sb  0.357  0.750  0.714 x2
H  0.204  0.750  0.167 x2

=====

# 12
Density functional theory data (GGA-PBE) for a relaxed structure of RbZn2SbH2.

Summary:
* calculated density: 4.0 g/cm3
* energy: -2.54 eV per atom

abc: 7.889 5.136 8.019
angles: 90.00 119.36 90.00
Space group P2_1/m (No. 11)
Inequivalent atoms, fractional coordinates:
Rb  0.169  0.250  0.339 x2
Zn  0.325  0.000  0.999 x4
Sb  0.360  0.750  0.715 x2
H  0.148  0.250  0.907 x2
H  0.236  0.750  0.087 x2

=====

# 13
Density functional theory data (GGA-PBE) for a relaxed structure of RbSc2H.

Summary:
* calculated density: 3.0 g/cm3
* polymorph energy (0 for the lowest one): 1015 meV per atom

abc: 7.291 7.291 7.291
angles: 90.00 90.00 90.00
Space group Fm-3m (No. 225)
Inequivalent atoms, fractional coordinates:
Rb  0.000  0.000  0.000 x4
Sc  0.250  0.250  0.250 x8
H  0.000  0.000  0.500 x4

=====

# 14
Density functional theory data (GGA-PBE) for a relaxed structure of RbScH2.

Summary:
* calculated density: 3.1 g/cm3
* polymorph energy (0 for the lowest one): 664 meV per atom

abc: 6.549 6.549 6.549
angles: 90.00 90.00 90.00
Space group Fm-3m (No. 225)
Inequivalent atoms, fractional coordinates:
Rb  0.000  0.000  0.000 x4
Sc  0.000  0.000  0.500 x4
H  0.250  0.250  0.250 x8

=====

# 15
Density functional theory data (GGA-PBE) for a relaxed structure of RbScH2.

Summary:
* calculated density: 2.6 g/cm3
* polymorph energy (0 for the lowest one): 0 meV per atom

abc: 6.159 6.159 9.026
angles: 90.00 90.00 90.00
Space group I-42d (No. 122)
Inequivalent atoms, fractional coordinates:
Rb  0.000  0.000  0.000 x4
Sc  0.000  0.000  0.500 x4
H  0.064  0.250  0.625 x8

=====

# 16
Density functional theory data (GGA-PBE) for a relaxed structure of RbSc2H.

Summary:
* calculated density: 2.6 g/cm3
* polymorph energy (0 for the lowest one): 0 meV per atom

abc: 6.798 6.798 9.612
angles: 90.00 90.00 90.00
Space group I-42d (No. 122)
Inequivalent atoms, fractional coordinates:
Rb  0.000  0.000  0.000 x4
Sc  0.001  0.250  0.625 x8
H  0.000  0.000  0.500 x4

=====

# 17
Density functional theory data (GGA-PBE) for a relaxed structure of RbSc2H.

Summary:
* calculated density: 2.6 g/cm3
* polymorph energy (0 for the lowest one): 212 meV per atom

abc: 3.5083 3.5083 31.6543
angles: 90.00 90.00 120.00
Space group R-3m (No. 166, hexagonal axes)
Inequivalent atoms, fractional coordinates:
Rb  0.0000  0.0000  0.0000 x3
Sc  0.0000  0.0000  0.4431 x6
H  0.0000  0.0000  0.5000 x3

=====

# 18
Density functional theory data (GGA-PBE) for a relaxed structure of RbScH.

Summary:
* calculated density: 3.0 g/cm3
* energy: -3.28 eV per atom

abc: 13.572 3.544 6.067
angles: 90.00 90.00 90.00
Space group Amm2 (No. 38)
Inequivalent atoms, fractional coordinates:
Rb  0.139  0.000  0.000 x4
Sc  0.397  0.000  0.555 x4
H  0.000  0.000  0.662 x2
H  0.500  0.000  0.887 x2

=====

# 19
Density functional theory data (GGA-PBE) for a relaxed structure of Rb2HSe2.

Summary:
* calculated density: 3.4 g/cm3
* polymorph energy (0 for the lowest one): 121 meV per atom

abc: 6.859 6.859 6.765
angles: 90.00 90.00 90.00
Space group I4/mmm (No. 139)
Inequivalent atoms, fractional coordinates:
Rb  0.000  0.500  0.250 x4
H  0.000  0.000  0.000 x2
Se  0.000  0.000  0.263 x4

=====

# 20
Density functional theory data (GGA-PBE) for a relaxed structure of Rb4HSe.

Summary:
* calculated density: 2.7 g/cm3
* energy: -2.22 eV per atom

abc: 5.642 5.642 8.091
angles: 90.00 90.00 90.00
Space group P4/mmm (No. 123)
Inequivalent atoms, fractional coordinates:
Rb  0.000  0.500  0.244 x4
H  0.000  0.000  0.000 x1
Se  0.500  0.500  0.500 x1

=====

# 21
Density functional theory data (GGA-PBE) for a relaxed structure of Rb4H12Se.

Summary:
* calculated density: 2.0 g/cm3
* energy: -2.87 eV per atom

abc: 8.999 8.999 8.999
angles: 90.00 90.00 90.00
Space group Im-3 (No. 204)
Inequivalent atoms, fractional coordinates:
Rb  0.250  0.250  0.250 x8
H  0.000  0.457  0.132 x24
Se  0.000  0.000  0.000 x2

=====

# 22
Density functional theory data (GGA-PBE) for a relaxed structure of Rb2HSe.

Summary:
* calculated density: 3.4 g/cm3
* polymorph energy (0 for the lowest one): 26 meV per atom

abc: 5.376 4.971 9.186
angles: 90.00 90.06 90.00
Space group P2_1/m (No. 11)
Inequivalent atoms, fractional coordinates:
Rb  0.249  0.250  0.380 x2
Rb  0.250  0.750  0.026 x2
H  0.251  0.750  0.738 x2
Se  0.250  0.250  0.750 x2

=====

# 23
Density functional theory data (GGA-PBE) for a relaxed structure of Rb2HSe2.

Summary:
* calculated density: 3.7 g/cm3
* polymorph energy (0 for the lowest one): 264 meV per atom

abc: 3.981 3.981 18.494
angles: 90.00 90.00 90.00
Space group I4/mmm (No. 139)
Inequivalent atoms, fractional coordinates:
Rb  0.000  0.000  0.096 x4
H  0.000  0.000  0.500 x2
Se  0.000  0.500  0.250 x4

=====

# 24
Density functional theory data (GGA-PBE) for a relaxed structure of RbH8Se2.

Summary:
* calculated density: 2.3 g/cm3
* energy: -3.30 eV per atom

abc: 4.444 6.094 7.473
angles: 75.47 76.17 72.94
Space group P-1 (No. 2)
Inequivalent atoms, fractional coordinates:
Rb  0.000  0.000  0.000 x1
H  0.024  0.052  0.466 x2
H  0.313  0.289  0.656 x2
H  0.445  0.180  0.642 x2
H  0.495  0.379  0.281 x2
Se  0.273  0.392  0.156 x2

=====

# 25
Density functional theory data (GGA-PBE) for a relaxed structure of RbH2Se2.

Summary:
* calculated density: 3.1 g/cm3
* energy: -3.33 eV per atom

abc: 5.096 6.791 8.030
angles: 89.45 71.52 89.97
Space group P-1 (No. 2)
Inequivalent atoms, fractional coordinates:
Rb  0.122  0.312  0.255 x2
H  0.077  0.257  0.769 x2
H  0.347  0.743  0.231 x2
Se  0.201  0.818  0.099 x2
Se  0.472  0.333  0.556 x2